No. 1
# PBE-GGA RbNaPu2F8, relaxed
# Formation energy without anion corrections ... -3342 meV per atom
# D(E_F) ... 1.64 states/eV/atom
data_RbNaPu2F8
_chemical_formula_sum 'Rb1 Na1 Pu2 F8'
_cell_length_a 4.036
_cell_length_b 6.155
_cell_length_c 8.018
_cell_angle_alpha 90.00
_cell_angle_beta 90.00
_cell_angle_gamma 90.00
_space_group_name_H-M_alt 'P m m m'
_space_group_IT_number 47
loop_
_space_group_symop_operation_xyz
'x,y,z'
'-x,-y,-z'
'-x,-y,z'
'x,y,-z'
'x,-y,-z'
'-x,y,z'
'-x,y,-z'
'x,-y,z'
loop_
_atom_site_label
_atom_site_fract_x
_atom_site_fract_y
_atom_site_fract_z
Rb1 0.000 0.000 0.000
Na1 0.000 0.000 0.500
Pu1 0.500 0.500 0.257
F1 0.000 0.284 0.267
F2 0.500 0.272 0.500
F3 0.500 0.295 0.000

No. 2
# PBE-GGA CaFe3Hg, relaxed
# Final energy ... -3.71 eV per atom
# D(E_F) ... 1.35 states/eV/atom
data_CaFe3Hg
_chemical_formula_sum 'Ca1 Fe3 Hg1'
_cell_length_a 4.583
_cell_length_b 4.583
_cell_length_c 4.583
_cell_angle_alpha 90.00
_cell_angle_beta 90.00
_cell_angle_gamma 90.00
_space_group_name_H-M_alt 'P m -3 m'
_space_group_IT_number 221
_space_group_name_Hall '-P 4 2 3'
loop_
_atom_site_label
_atom_site_fract_x
_atom_site_fract_y
_atom_site_fract_z
Ca1 0.000 0.000 0.000
Fe1 0.000 0.000 0.500
Hg1 0.500 0.500 0.500

No. 3
# PBE-GGA TcNiGe2Au, relaxed
# Final energy ... -4.98 eV per atom
# D(E_F) ... 0.69 states/eV/atom
data_TcNiGe2Au
_chemical_formula_sum 'Tc1 Ni1 Ge2 Au1'
_cell_length_a 4.419
_cell_length_b 4.419
_cell_length_c 4.888
_cell_angle_alpha 90.00
_cell_angle_beta 90.00
_cell_angle_gamma 90.00
_space_group_name_H-M_alt 'P 4/m m m'
_space_group_IT_number 123
_space_group_name_Hall '-P 4 2'
loop_
_atom_site_label
_atom_site_fract_x
_atom_site_fract_y
_atom_site_fract_z
Tc1 0.000 0.000 0.000
Ni1 0.500 0.500 0.500
Ge1 0.000 0.500 0.500
Au1 0.500 0.500 0.000

No. 4
# PBE-GGA MnFe2Rh, relaxed
# Final energy ... -8.28 eV per atom
# D(E_F) ... 1.00 states/eV/atom
data_MnFe2Rh
_chemical_formula_sum 'Mn1 Fe2 Rh1'
_cell_length_a 2.634
_cell_length_b 4.068
_cell_length_c 4.853
_cell_angle_alpha 90.00
_cell_angle_beta 100.81
_cell_angle_gamma 90.00
_space_group_name_H-M_alt 'P 1 m 1'
_space_group_IT_number 6
loop_
_space_group_symop_operation_xyz
'x,y,z'
'x,-y,z'
loop_
_atom_site_label
_atom_site_fract_x
_atom_site_fract_y
_atom_site_fract_z
Mn1 0.000 0.000 0.000
Fe1 0.256 0.500 0.753
Fe2 0.471 0.000 0.519
Rh1 0.738 0.500 0.256

No. 5
# PBE-GGA BaS2ClO, relaxed
# Formation energy without anion corrections ... 468 meV per atom
# D(E_F) ... 1.88 states/eV/atom
data_BaS2ClO
_chemical_formula_sum 'Ba1 S2 Cl1 O1'
_cell_length_a 6.498
_cell_length_b 6.498
_cell_length_c 5.900
_cell_angle_alpha 90.00
_cell_angle_beta 90.00
_cell_angle_gamma 90.00
_space_group_name_H-M_alt 'P 4/m m m'
_space_group_IT_number 123
_space_group_name_Hall '-P 4 2'
loop_
_atom_site_label
_atom_site_fract_x
_atom_site_fract_y
_atom_site_fract_z
Ba1 0.000 0.000 0.000
S1 0.000 0.500 0.000
Cl1 0.000 0.000 0.500
O1 0.500 0.500 0.500

No. 6
# PBE-GGA MnCd, relaxed
# Final energy ... -4.71 eV per atom
# D(E_F) ... 0.75 states/eV/atom
data_MnCd
_chemical_formula_sum 'Mn2 Cd2'
_cell_length_a 2.9677
_cell_length_b 2.9677
_cell_length_c 9.5577
_cell_angle_alpha 90.00
_cell_angle_beta 90.00
_cell_angle_gamma 120.00
_space_group_name_H-M_alt 'P -3 m 1'
_space_group_IT_number 164
_space_group_name_Hall '-P 3 2"'
loop_
_atom_site_label
_atom_site_fract_x
_atom_site_fract_y
_atom_site_fract_z
Mn1 0.3333 0.6667 0.3919
Cd1 0.3333 0.6667 0.8581